(1)
Here is crystalline KLa2CoO5 at its relaxed geometry from Alexandria. Energies are from PBE+U.

Structure (POSCAR):
```
KLa2CoO5
1.0
6.918 0.000 0.000
0.000 6.918 0.000
0.000 0.000 5.729
K La Co O
2 4 2 10
Cartesian
0.000 0.000 0.000
3.459 3.459 0.000
1.253 2.206 2.864
2.206 5.665 2.864
4.712 1.253 2.864
5.665 4.712 2.864
0.000 3.459 0.000
3.459 0.000 0.000
0.000 0.000 2.864
0.890 4.349 1.345
0.890 4.349 4.384
2.569 0.890 1.345
2.569 0.890 4.384
3.459 3.459 2.864
4.349 6.028 1.345
4.349 6.028 4.384
6.028 2.569 1.345
6.028 2.569 4.384
```

Properties
Density   5.52 g cm⁻³
Density of states at the Fermi level   0.00 states/eV/cell
Total magnetization   0.227 μB per atom
Electronic total energy   -125.47 eV per cell

***

(2)
Here is crystalline K3La3CoO8 at its relaxed geometry from Alexandria. Energies are from PBE+U.

Structure (POSCAR):
```
K3La3CoO8
1.0
3.550 2.050 6.266
-3.550 2.050 6.266
0.000 -4.099 6.266
K La Co O
3 3 1 8
Cartesian
-1.775 -1.025 6.266
-1.775 1.025 12.532
0.000 2.050 6.266
-3.550 0.000 9.399
-1.775 1.025 3.133
1.775 1.025 3.133
0.000 0.000 9.399
0.000 0.000 4.349
-1.508 -0.871 10.462
0.000 -1.741 8.336
-1.508 0.871 8.336
1.508 -0.871 10.462
0.000 1.741 10.462
1.508 0.871 8.336
0.000 0.000 14.449
```

Properties
Density   4.38 g cm⁻³
Total magnetization   0.073 μB per atom
Electronic total energy   -95.61 eV per cell

***

(3)
Here is crystalline K2LaCoO4 at its relaxed geometry from Alexandria. Energies are from PBE+U.

Structure (POSCAR):
```
K2LaCoO4
1.0
-3.072 3.072 3.647
3.072 -3.072 3.647
3.072 3.072 -3.647
K La Co O
2 1 1 4
Cartesian
0.000 0.000 0.000
0.000 3.072 1.823
0.000 0.000 3.647
3.072 0.000 1.823
1.612 -1.026 2.356
2.046 1.460 1.291
1.460 4.098 -1.291
1.026 1.612 4.938
```

Properties
Density   4.10 g cm⁻³
Total magnetization   0.250 μB per atom
Electronic total energy   -46.86 eV per cell